Entry 1:
The following is a GGA-PBE calculation of an optimized crystal structure of Mg2Cd5Rh2, from Alexandria.

Cell and atoms, written as POSCAR:
```
Mg2Cd5Rh2
1.0
3.0597 0.0000 0.0000
0.0951 7.1132 0.0000
0.1458 2.2559 8.5046
Mg Cd Rh
2 5 2
Direct
0.0025 0.0111 0.3226
0.9975 0.9889 0.6774
0.0000 0.0000 0.0000
0.0120 0.4254 0.8405
0.4851 0.3193 0.4440
0.5149 0.6807 0.5560
0.9880 0.5746 0.1595
0.4989 0.2608 0.1180
0.5011 0.7392 0.8820
```

Values from the calculation:
Space group ... P-1 (2)
Crystal system ... triclinic

Entry 2:
The following is a GGA-PBE calculation of an optimized crystal structure of Mg2CdRh, from Alexandria.

Cell and atoms, written as POSCAR:
```
Mg2CdRh
1.0
1.5289 0.8827 9.4253
-1.5289 0.8827 9.4253
0.0000 -1.7654 9.4253
Mg Cd Rh
2 1 1
Direct
0.2364 0.2364 0.2364
0.7636 0.7636 0.7636
0.0000 0.0000 0.0000
0.5000 0.5000 0.5000
```

Values from the calculation:
Space group ... R-3m (166)
Crystal system ... trigonal

Entry 3:
The following is a GGA-PBE calculation of an optimized crystal structure of MgCdRh, from Alexandria.

Cell and atoms, written as POSCAR:
```
MgCdRh
1.0
3.2024 -3.2653 0.0000
3.2024 3.2653 0.0000
-2.8967 0.0000 5.9210
Mg Cd Rh
2 2 2
Direct
0.2356 0.7644 0.0000
0.7644 0.2356 0.0000
0.0000 0.5000 0.5000
0.5000 0.0000 0.5000
0.3811 0.3811 0.2429
0.6189 0.6189 0.7571
```

Values from the calculation:
Space group ... C2/m (12)
Crystal system ... monoclinic

Entry 4:
The following is a GGA-PBE calculation of an optimized crystal structure of MgCdRh, from Alexandria.

Cell and atoms, written as POSCAR:
```
MgCdRh
1.0
4.4635 0.0000 0.0000
-2.2318 3.8655 0.0000
0.0000 0.0000 3.0014
Mg Cd Rh
1 1 1
Direct
0.0000 0.0000 0.0000
0.6667 0.3333 0.6483
0.3333 0.6667 0.2545
```

Values from the calculation:
Space group ... P3m1 (156)
Crystal system ... trigonal

Entry 5:
The following is a GGA-PBE calculation of an optimized crystal structure of Mg2Cd4Rh, from Alexandria.

Cell and atoms, written as POSCAR:
```
Mg2Cd4Rh
1.0
5.6441 0.0000 0.0000
0.0000 9.5278 0.0000
-0.0384 0.0000 5.3730
Mg Cd Rh
4 8 2
Direct
0.2432 0.0301 0.0053
0.2432 0.4699 0.5053
0.7568 0.5301 0.4947
0.7568 0.9699 0.9947
0.0864 0.7500 0.2497
0.0864 0.7500 0.7497
0.4426 0.1510 0.5052
0.4426 0.3490 0.0052
0.5574 0.6510 0.9948
0.5574 0.8490 0.4948
0.9136 0.2500 0.2503
0.9136 0.2500 0.7503
0.0000 0.0000 0.5000
0.0000 0.5000 0.0000
```

Values from the calculation:
Space group ... P2_1/c (14)
Crystal system ... monoclinic

Entry 6:
The following is a GGA-PBE calculation of an optimized crystal structure of MgCdRh, from Alexandria.

Cell and atoms, written as POSCAR:
```
MgCdRh
1.0
-1.6141 1.6141 5.0441
1.6141 -1.6141 5.0441
1.6141 1.6141 -5.0441
Mg Cd Rh
1 1 1
Direct
0.0000 0.0000 0.0000
0.6982 0.6982 0.0000
0.3637 0.3637 0.0000
```

Values from the calculation:
Space group ... I4mm (107)
Crystal system ... tetragonal

Here are the calculated ΔE_f numbers, same order: -0.1257; -0.1665; -0.1555; -0.2211; -0.1045; -0.3046 (eV per atom).